[1]
The following is a PBE calculation of an optimized crystal structure of PrTaN3, from Alexandria via LeMat-Bulk.

Cell: 6.2900 6.2900 8.1487 Å, 117.20 117.20 30.18°
Closest atoms and distances in Å follow each position.
Positions (direct):
Pr1 0.0777 0.0777 0.3493  7 N 2.46-2.66
Pr2 0.9223 0.9223 0.6507  7 N 2.46-2.66
Ta1 0.2795 0.2795 0.1817  6 N 2.04-2.22
Ta2 0.7205 0.7205 0.8183  6 N 2.04-2.22
N1 0.1488 0.1488 0.9056  3 Ta 2.05-2.13
N2 0.3023 0.3023 0.7276  2 Ta 2.22, 2 Pr 2.46
N3 0.4381 0.4381 0.4320  1 N 1.38
N4 0.5619 0.5619 0.5680  1 N 1.38
N5 0.6977 0.6977 0.2724  2 Ta 2.22, 2 Pr 2.46
N6 0.8512 0.8512 0.0944  3 Ta 2.05-2.13

Results
As for the calculated volume: 14.28 Å³ per atom.



[2]
The following is a PBE calculation of an optimized crystal structure of Pr2Ta2N5, from Alexandria via LeMat-Bulk.

Cell: 6.0756 6.0756 5.8998 Å, 110.40 110.40 40.82°
Closest atoms and distances in Å follow each position.
Positions (direct):
Pr1 0.1082 0.1082 0.3256  5 N 2.49-2.77
Pr2 0.8918 0.8918 0.6744  5 N 2.49-2.77
Ta1 0.3457 0.3457 0.1149  5 N 1.92-2.13
Ta2 0.6543 0.6543 0.8851  5 N 1.92-2.13
N1 0.1518 0.1518 0.9161  3 Ta 2.08-2.13
N2 0.3415 0.3415 0.4371  1 Ta 1.92
N3 0.5000 0.5000 0.0000  2 Ta 2.11
N4 0.6585 0.6585 0.5629  1 Ta 1.92
N5 0.8482 0.8482 0.0839  3 Ta 2.08-2.13

Results
As for the calculated volume: 14.68 Å³ per atom. The energy above the most stable polymorph in this dataset is 3.9 kJ per mole of atoms.



Record order is preserved below.
Energy relative to the elements, uncorrected: -5.0 -10.9 eV/f.u.